Below is MnFe2RhO6 after structural relaxation, with properties calculated at the PBE with a Hubbard U level.

Output
- E (eV/atom) = -6.695
- SG = P1 (1)
- calculated volume (Å³/atom) = 10.45
- size of the total moment (μB per cell) = 10.000

Geometry as POSCAR:
```
MnFe2RhO6
1.0
5.0380 0.0000 0.0000
2.4542 4.4638 0.0000
0.0089 2.7969 4.6450
Mn Fe Rh O
1 2 1 6
Direct
0.0000 0.0000 0.0000 Mn
0.2109 0.5884 0.6009 Fe
0.7010 0.5976 0.0935 Fe
0.5083 0.9902 0.5098 Rh
0.0899 0.1131 0.2915 O
0.3067 0.0982 0.8092 O
0.4302 0.4817 0.3078 O
0.5885 0.5055 0.8035 O
0.8055 0.7845 0.2971 O
0.9125 0.7867 0.8051 O
```